Below is CaCrCdTc2 after structural relaxation, with properties calculated at the GGA-PBE level.

Cell lengths 4.6918, 4.6918, 4.4146 Å; angles 90.00, 90.00, 90.00 degrees
Closest atoms and distances in Å follow each position.
Positions (direct):
Ca 0.0000 0.0000 0.0000  2 Cr 2.21, 4 Tc 2.35
Cr 0.0000 0.0000 0.5000  2 Ca 2.21
Cd 0.5000 0.5000 0.5000  8 Tc 3.22, 4 Cr 3.32
Tc 0.0000 0.5000 0.0000  2 Ca 2.35
Tc 0.5000 0.0000 0.0000  2 Ca 2.35

## Properties
Space-group type: P4/mmm
Formation enthalpy at 0 K: 2376.5 meV per atom